The following is a PBE calculation of a relaxed Ac5Hf2O12 crystal, from Alexandria via LeMat-Bulk.

POSCAR file:
```
Ac5Hf2O12
1.0
6.735 -3.212 0.000
6.735 3.212 0.000
-2.340 0.000 7.677
Ac Hf O
5 2 12
direct
0.000 0.000 0.000
0.303 0.303 0.660
0.309 0.309 0.144
0.691 0.691 0.856
0.697 0.697 0.340
0.241 0.759 0.500
0.759 0.241 0.500
0.001 0.001 0.674
0.092 0.597 0.923
0.107 0.572 0.419
0.403 0.908 0.077
0.428 0.893 0.581
0.498 0.498 0.672
0.502 0.502 0.328
0.572 0.107 0.419
0.597 0.092 0.923
0.893 0.428 0.581
0.908 0.403 0.077
0.999 0.999 0.326
```

Output
V ... 332 Å³ per cell
ΔE_f (raw) ... -3.357 eV/atom



The following is a PBE calculation of a relaxed CsNpHg2Se4 crystal, from Alexandria via LeMat-Bulk.

POSCAR file:
```
CsNpHg2Se4
1.0
-3.512 4.367 4.847
3.512 -4.367 4.847
3.512 4.367 -4.847
Cs Np Hg Se
1 1 2 4
direct
0.000 0.000 0.000
0.500 0.500 0.000
0.329 0.829 0.500
0.671 0.171 0.500
0.141 0.101 0.596
0.495 0.899 0.040
0.505 0.545 0.404
0.859 0.455 0.960
```

Output
V ... 297 Å³ per cell
ΔE_f (raw) ... -0.607 eV/atom



The following is a PBE calculation of a relaxed CsIn3H crystal, from Alexandria via LeMat-Bulk.

POSCAR file:
```
CsIn3H
1.0
5.302 0.000 0.000
0.000 5.302 0.000
0.000 0.000 5.302
Cs In H
1 3 1
direct
0.000 0.000 0.000
0.000 0.500 0.500
0.500 0.000 0.500
0.500 0.500 0.000
0.500 0.500 0.500
```

Output
V ... 149 Å³ per cell



The following is a PBE calculation of a relaxed TbTm3Mg4 crystal, from Alexandria via LeMat-Bulk.

POSCAR file:
```
TbTm3Mg4
1.0
3.759 0.000 0.000
0.000 3.759 0.000
0.000 0.000 15.095
Tb Tm Mg
1 3 4
direct
0.000 0.000 0.000
0.000 0.000 0.252
0.000 0.000 0.500
0.000 0.000 0.748
0.500 0.500 0.128
0.500 0.500 0.376
0.500 0.500 0.624
0.500 0.500 0.872
```

Output
Formation enthalpy at 0 K ... -66 meV per atom
V ... 213 Å³ per cell



no.,energy (eV for the cell shown)
1,-163.7
2,-33.2
3,-10.6
4,-25.0